(1)
A plane-wave DFT calculation with PBE-GGA was carried out for an optimized crystal structure of CaPrCuPb.

Cell lengths 5.3674, 5.3674, 5.3674 Å; angles 60.00, 60.00, 60.00 degrees
Element x y z (fractional)
Pb (0.7500, 0.7500, 0.7500)
Ca (0.5000, 0.5000, 0.5000)
Pr (0.0000, 0.0000, 0.0000)
Cu (0.2500, 0.2500, 0.2500)

Results
Its calculated total energy is -3.981 eV/atom. The calculation puts the magnetization at 0.0000 μB/atom. The symmetry is F-43m. The formation energy comes out at -335 meV/atom. The value obtained for the calculated density is 6.86 g/cm³.

(2)
A plane-wave DFT calculation with PBE-GGA was carried out for an optimized crystal structure of K2AcCrSe4.

Cell lengths 4.2526, 7.2883, 8.0967 Å; angles 107.90, 90.00, 90.00 degrees
Last column: magnetic moment on the atom in μB.
Element x y z (fractional)
Se (0.5000, 0.2781, 0.2084)  -0.03
Se (0.0000, 0.6918, 0.1876)  -0.10
Se (0.5000, 0.7219, 0.7916)  -0.03
Cr (0.5000, 0.5000, 0.0000)  3.11
K (0.0000, 0.5000, 0.5000)  0.00
K (0.5000, 0.0000, 0.5000)  -0.01
Ac (0.0000, 0.0000, 0.0000)  0.01
Se (0.0000, 0.3082, 0.8124)  -0.10

Results
Its calculated total energy is -4.928 eV/atom. The calculation puts the magnetization at 0.3741 μB/atom. The symmetry is P2/m. The calculation puts the uncorrected formation energy at -1.195 eV/atom. The value obtained for the calculated density is 4.68 g/cm³.

(3)
A plane-wave DFT calculation with PBE-GGA was carried out for an optimized crystal structure of LiZrAs2.

Cell lengths 3.6432, 2.9405, 7.5000 Å; angles 71.97, 90.00, 90.00 degrees
Element x y z (fractional)
As (0.0000, 0.0381, 0.9938)
Zr (0.5000, 0.7500, 0.7500)
As (0.0000, 0.4619, 0.5062)
Li (0.5000, 0.2500, 0.2500)

Results
Its calculated total energy is -5.602 eV/atom. The calculation puts the magnetization at 0.0000 μB/atom. The symmetry is P2/m. The formation energy comes out at -662 meV/atom. The energy above the most stable polymorph in this dataset is 148.5 meV per atom. The value obtained for the calculated density is 5.39 g/cm³.